A plane-wave DFT calculation with PBE was carried out for a geometry-optimized ZrPaCrRe structure.

final energy = -9.98 eV per atom
energy relative to the elements = 20.0 kJ/mol of formula units

CIF file:
```
data_ZrPaCrRe
_chemical_formula_sum 'Zr1 Pa1 Cr1 Re1'
_symmetry_space_group_name_H-M 'P 1'
_symmetry_Int_Tables_number 1
_cell_length_a 4.7223
_cell_length_b 4.7223
_cell_length_c 4.7223
_cell_angle_alpha 60.00
_cell_angle_beta 60.00
_cell_angle_gamma 60.00
loop_
_symmetry_equiv_pos_as_xyz
'x,y,z'
loop_
_atom_site_label
_atom_site_fract_x
_atom_site_fract_y
_atom_site_fract_z
Re1 0.5000 0.5000 0.5000
Pa1 0.2500 0.2500 0.2500
Zr1 0.7500 0.7500 0.7500
Cr1 0.0000 0.0000 0.0000
```